[1]
{
  "formula": "Y3TiAs",
  "functional": "PBE-GGA",
  "state": "optimized geometry",
  "formation_energy_mev_per_atom": 461,
  "magnetic_moment_mub_per_fu": 0.0,
  "relative_energy_ev_per_atom": 0.505,
  "space_group": "Pm-3m, No. 221",
  "lattice": [[5.256, 0.000, 0.000], [0.000, 5.256, 0.000], [0.000, 0.000, 5.256]],
  "species": ["Ti", "Y", "Y", "As", "Y"],
  "fractional_positions": [[0.000, 0.000, 0.000], [0.000, 0.500, 0.000], [0.500, 0.000, 0.000], [0.500, 0.500, 0.500], [0.000, 0.000, 0.500]]
}

[2]
{
  "formula": "Y2Ti2As",
  "functional": "PBE-GGA",
  "state": "optimized geometry",
  "formation_energy_mev_per_atom": 612,
  "magnetic_moment_mub_per_fu": 0.0,
  "relative_energy_ev_per_atom": 0.837,
  "space_group": "I4/mmm, No. 139",
  "lattice": [[-3.779, -1.037, -1.493], [-1.414, -0.488, 3.918], [-4.442, 5.753, 1.357]],
  "species": ["Ti", "Ti", "Y", "Y", "As"],
  "fractional_positions": [[0.425, 0.425, 0.150], [0.575, 0.575, 0.850], [0.250, 0.750, 0.500], [0.750, 0.250, 0.500], [0.000, 0.000, 0.000]]
}

Table of uncorrected energy (eV/atom), in record order: -5.926; -6.061